Below is an optimized crystal structure of TlVP2O, with properties calculated at the GGA+U level.

a b c (Å): 5.1176 5.1176 4.1127
angles (deg): 90.00 90.00 90.00
Fractional coordinates of all 5 atoms:
Tl  0.0000  0.0000  0.0000
V  0.5000  0.5000  0.5000
P  0.0000  0.5000  0.0000
P  0.5000  0.0000  0.0000
O  0.0000  0.0000  0.5000

## Properties
Excess energy over the best structure of this formula in the dataset, eV per atom: 1.466
N(E_F), states/eV per cell: 7.6



Below is an optimized crystal structure of TlP2WO, with properties calculated at the GGA+U level.

a b c (Å): 5.0768 5.0768 4.0957
angles (deg): 90.00 90.00 90.00
Fractional coordinates of all 5 atoms:
Tl  0.0000  0.0000  0.0000
P  0.0000  0.5000  0.0000
P  0.5000  0.0000  0.0000
W  0.5000  0.5000  0.5000
O  0.0000  0.0000  0.5000

## Properties
Excess energy over the best structure of this formula in the dataset, eV per atom: 1.699
N(E_F), states/eV per cell: 3.3



Below is an optimized crystal structure of TlP2WO, with properties calculated at the GGA+U level.

a b c (Å): 4.9291 4.9291 3.8821
angles (deg): 90.00 90.00 90.00
Fractional coordinates of all 5 atoms:
Tl  0.0000  0.0000  0.0000
P  0.0000  0.5000  0.5000
P  0.5000  0.0000  0.5000
W  0.5000  0.5000  0.5000
O  0.5000  0.5000  0.0000

## Properties
Excess energy over the best structure of this formula in the dataset, eV per atom: 0.000
N(E_F), states/eV per cell: 1.9